1.
A crystal of Sc2TeAs relaxed with PBEsol, computed with SCAN.

Cell: 4.904 4.904 3.469 Å, 90.00 90.00 90.00°
Sites, in units of the cell vectors:
Sc  0.000  0.500  0.000
Sc  0.500  0.000  0.000
Te  0.000  0.000  0.500
As  0.500  0.500  0.500

- space-group type = P4/mmm

2.
A crystal of Na2CdBi relaxed with PBEsol, computed with SCAN.

Cell: 5.254 5.254 5.254 Å, 60.00 60.00 60.00°
Sites, in units of the cell vectors:
Na  0.250  0.250  0.250
Na  0.750  0.750  0.750
Cd  0.000  0.000  0.000
Bi  0.500  0.500  0.500

- E_form (eV per atom) = -0.24
- space-group type = Fm-3m

3.
A crystal of BaAl2Sb relaxed with PBEsol, computed with SCAN.

Cell: 6.197 6.197 6.197 Å, 143.45 125.24 67.64°
Sites, in units of the cell vectors:
Ba  0.000  0.000  0.000
Al  0.291  0.791  0.500
Al  0.709  0.209  0.500
Sb  0.500  0.500  0.000

- space-group type = Immm

4.
A crystal of SrMgScRu2 relaxed with PBEsol, computed with SCAN.

Cell: 4.708 4.708 5.189 Å, 90.00 90.00 90.00°
Sites, in units of the cell vectors:
Sr  0.000  0.000  0.000
Mg  0.500  0.500  0.000
Sc  0.500  0.500  0.500
Ru  0.000  0.500  0.500
Ru  0.500  0.000  0.500

- E_form (eV per atom) = 0.75
- excess energy over the best structure of this formula in the dataset (meV/atom) = 0.0
- space-group type = P4/mmm

5.
A crystal of YHf2Mo relaxed with PBEsol, computed with SCAN.

Cell: 4.866 4.866 4.866 Å, 60.00 60.00 60.00°
Sites, in units of the cell vectors:
Y  0.000  0.000  0.000
Hf  0.250  0.250  0.250
Hf  0.750  0.750  0.750
Mo  0.500  0.500  0.500

- E_form (eV per atom) = 0.26
- space-group type = Fm-3m

6.
A crystal of InCu2Sb relaxed with PBEsol, computed with SCAN.

Cell: 6.354 6.354 6.354 Å, 152.62 141.18 48.16°
Sites, in units of the cell vectors:
In  0.000  0.000  0.000
Cu  0.346  0.846  0.500
Cu  0.535  0.535  0.000
Sb  0.738  0.238  0.500

- space-group type = Imm2

7.
A crystal of SrTe5 relaxed with PBEsol, computed with SCAN.

Cell: 4.273 4.273 10.292 Å, 90.00 90.00 90.00°
Sites, in units of the cell vectors:
Sr  0.000  0.000  0.000
Te  0.000  0.000  0.366
Te  0.000  0.000  0.634
Te  0.500  0.500  0.141
Te  0.500  0.500  0.500
Te  0.500  0.500  0.859

- space-group type = P4/mmm

8.
A crystal of LaMgI5 relaxed with PBEsol, computed with SCAN.

Cell: 7.565 7.565 17.122 Å, 90.00 90.00 147.14°
Sites, in units of the cell vectors:
La  0.015  0.985  0.750
La  0.985  0.015  0.250
Mg  0.500  0.500  0.000
Mg  0.500  0.500  0.500
I  0.111  0.889  0.567
I  0.111  0.889  0.933
I  0.328  0.672  0.250
I  0.396  0.604  0.644
I  0.396  0.604  0.856
I  0.604  0.396  0.144
I  0.604  0.396  0.356
I  0.672  0.328  0.750
I  0.889  0.111  0.067
I  0.889  0.111  0.433

- excess energy over the best structure of this formula in the dataset (meV/atom) = 0.0
- space-group type = Cmcm

9.
A crystal of YZr2Co9 relaxed with PBEsol, computed with SCAN.

Cell: 8.333 8.333 8.333 Å, 33.05 33.05 33.05°
Sites, in units of the cell vectors:
Y  0.000  0.000  0.000
Zr  0.724  0.724  0.724
Zr  0.861  0.861  0.861
Co  0.193  0.193  0.193
Co  0.280  0.280  0.778
Co  0.280  0.778  0.280
Co  0.361  0.361  0.361
Co  0.440  0.440  0.941
Co  0.440  0.941  0.440
Co  0.527  0.527  0.527
Co  0.778  0.280  0.280
Co  0.941  0.440  0.440

- E_form (eV per atom) = -0.08
- space-group type = R3m

10.
A crystal of In2BrCl relaxed with PBEsol, computed with SCAN.

Cell: 7.752 7.752 7.752 Å, 33.76 33.76 33.76°
Sites, in units of the cell vectors:
In  0.246  0.246  0.246
In  0.754  0.754  0.754
Br  0.000  0.000  0.000
Cl  0.500  0.500  0.500

- excess energy over the best structure of this formula in the dataset (meV/atom) = 52.0
- space-group type = R-3m

11.
A crystal of InTc2BiC relaxed with PBEsol, computed with SCAN.

Cell: 4.164 4.164 4.870 Å, 90.00 90.00 90.00°
Sites, in units of the cell vectors:
In  0.000  0.000  0.000
Tc  0.000  0.500  0.500
Tc  0.500  0.000  0.500
Bi  0.500  0.500  0.000
C  0.500  0.500  0.500

- E_form (eV per atom) = 0.92
- space-group type = P4/mmm

12.
A crystal of Zr2MnAu relaxed with PBEsol, computed with SCAN.

Cell: 3.145 3.146 7.018 Å, 90.00 90.06 90.00°
Sites, in units of the cell vectors:
Zr  0.000  0.000  0.220
Zr  0.000  0.000  0.780
Mn  0.500  0.500  0.000
Au  0.500  0.500  0.500

- E_form (eV per atom) = -0.43
- excess energy over the best structure of this formula in the dataset (meV/atom) = 0.0
- space-group type = P2/m

13.
A crystal of Rb3FeNi relaxed with PBEsol, computed with SCAN.

Cell: 6.085 6.085 6.085 Å, 90.00 90.00 90.00°
Sites, in units of the cell vectors:
Rb  0.000  0.000  0.500
Rb  0.000  0.500  0.000
Rb  0.500  0.000  0.000
Fe  0.500  0.500  0.500
Ni  0.000  0.000  0.000

- E_form (eV per atom) = 1.09
- space-group type = Pm-3m

14.
A crystal of PrRh relaxed with PBEsol, computed with SCAN.

Cell: 5.822 5.822 4.145 Å, 90.00 90.00 140.43°
Sites, in units of the cell vectors:
Pr  0.142  0.858  0.750
Pr  0.858  0.142  0.250
Rh  0.416  0.584  0.750
Rh  0.584  0.416  0.250

- E_form (eV per atom) = -0.73
- space-group type = Cmcm

15.
A crystal of Al2CdAg2 relaxed with PBEsol, computed with SCAN.

Cell: 6.913 6.913 6.913 Å, 147.62 147.62 46.44°
Sites, in units of the cell vectors:
Al  0.101  0.101  0.000
Al  0.899  0.899  0.000
Cd  0.500  0.500  0.000
Ag  0.250  0.750  0.500
Ag  0.750  0.250  0.500

- E_form (eV per atom) = 0.13
- space-group type = I4/mmm

16.
A crystal of Cu2SiTc relaxed with PBEsol, computed with SCAN.

Cell: 5.005 5.005 5.005 Å, 147.89 132.16 58.79°
Sites, in units of the cell vectors:
Cu  0.233  0.233  0.000
Cu  0.767  0.767  0.000
Si  0.000  0.500  0.500
Tc  0.500  0.000  0.500

- space-group type = Immm

17.
A crystal of NiHgOs3 relaxed with PBEsol, computed with SCAN.

Cell: 4.821 4.821 4.821 Å, 90.00 90.00 90.00°
Sites, in units of the cell vectors:
Ni  0.000  0.000  0.000
Hg  0.500  0.500  0.500
Os  0.000  0.500  0.500
Os  0.500  0.000  0.500
Os  0.500  0.500  0.000

- E_form (eV per atom) = 3.74
- space-group type = Pm-3m

18.
A crystal of AgTe2 relaxed with PBEsol, computed with SCAN.

Cell: 6.733 6.733 8.406 Å, 104.10 104.10 26.70°
Sites, in units of the cell vectors:
Ag  0.000  0.000  0.000
Ag  0.701  0.701  0.145
Te  0.152  0.152  0.411
Te  0.361  0.361  0.617
Te  0.397  0.397  0.201
Te  0.609  0.609  0.808

- space-group type = Cm

19.
A crystal of CaCd4In relaxed with PBEsol, computed with SCAN.

Cell: 5.858 5.858 5.858 Å, 60.00 60.00 60.00°
Sites, in units of the cell vectors:
Ca  0.000  0.000  0.000
Cd  0.375  0.375  0.375
Cd  0.375  0.375  0.876
Cd  0.375  0.876  0.375
Cd  0.876  0.375  0.375
In  0.750  0.750  0.750

- E_form (eV per atom) = -0.16
- space-group type = F-43m

20.
A crystal of OsAu2Cl relaxed with PBEsol, computed with SCAN.

Cell: 4.590 4.590 4.590 Å, 60.00 60.00 60.00°
Sites, in units of the cell vectors:
Os  0.000  0.000  0.000
Au  0.250  0.250  0.250
Au  0.750  0.750  0.750
Cl  0.500  0.500  0.500

- excess energy over the best structure of this formula in the dataset (meV/atom) = 587.4
- space-group type = Fm-3m

21.
A crystal of Be4ZnAu relaxed with PBEsol, computed with SCAN.

Cell: 4.414 4.414 4.414 Å, 60.00 60.00 60.00°
Sites, in units of the cell vectors:
Be  0.125  0.125  0.125
Be  0.125  0.125  0.624
Be  0.125  0.624  0.125
Be  0.624  0.125  0.125
Zn  0.750  0.750  0.750
Au  0.500  0.500  0.500

- E_form (eV per atom) = -0.21
- space-group type = F-43m

22.
A crystal of Ca2InCo relaxed with PBEsol, computed with SCAN.

Cell: 4.934 4.934 4.934 Å, 60.00 60.00 60.00°
Sites, in units of the cell vectors:
Ca  0.000  0.000  0.000
Ca  0.250  0.250  0.250
In  0.750  0.750  0.750
Co  0.500  0.500  0.500

- E_form (eV per atom) = 0.07
- space-group type = F-43m

23.
A crystal of Ca2MgCl relaxed with PBEsol, computed with SCAN.

Cell: 5.674 5.674 3.815 Å, 90.00 90.00 90.00°
Sites, in units of the cell vectors:
Ca  0.000  0.500  0.000
Ca  0.500  0.000  0.000
Mg  0.000  0.000  0.500
Cl  0.500  0.500  0.000

- excess energy over the best structure of this formula in the dataset (meV/atom) = 0.0
- space-group type = P4/mmm

24.
A crystal of Li2AgAu relaxed with PBEsol, computed with SCAN.

Cell: 3.017 3.270 5.972 Å, 90.00 90.00 90.00°
Sites, in units of the cell vectors:
Li  0.000  0.000  0.239
Li  0.000  0.000  0.761
Ag  0.500  0.500  0.500
Au  0.500  0.500  0.000

- E_form (eV per atom) = -0.42
- excess energy over the best structure of this formula in the dataset (meV/atom) = 19.8
- space-group type = Pmmm

25.
A crystal of InMo2As relaxed with PBEsol, computed with SCAN.

Cell: 8.674 8.674 8.674 Å, 19.94 19.94 19.94°
Sites, in units of the cell vectors:
In  0.000  0.000  0.000
Mo  0.241  0.241  0.241
Mo  0.759  0.759  0.759
As  0.500  0.500  0.500

- E_form (eV per atom) = 0.25
- excess energy over the best structure of this formula in the dataset (meV/atom) = 0.0
- space-group type = R-3m

26.
A crystal of CoIr2W relaxed with PBEsol, computed with SCAN.

Cell: 4.603 4.603 4.603 Å, 131.11 131.11 71.64°
Sites, in units of the cell vectors:
Co  0.000  0.000  0.000
Ir  0.250  0.750  0.500
Ir  0.750  0.250  0.500
W  0.500  0.500  0.000

- E_form (eV per atom) = -0.29
- excess energy over the best structure of this formula in the dataset (meV/atom) = 0.0
- space-group type = I4/mmm

27.
A crystal of NbP2IO relaxed with PBEsol, computed with SCAN.

Cell: 4.991 4.991 3.896 Å, 90.00 90.00 90.00°
Sites, in units of the cell vectors:
Nb  0.000  0.000  0.000
P  0.000  0.500  0.000
P  0.500  0.000  0.000
I  0.500  0.500  0.500
O  0.000  0.000  0.500

- space-group type = P4/mmm

28.
A crystal of BaTaSe2 relaxed with PBEsol, computed with SCAN.

Cell: 3.702 3.779 7.281 Å, 90.00 90.00 90.00°
Sites, in units of the cell vectors:
Ba  0.000  0.000  0.000
Ta  0.500  0.000  0.500
Se  0.500  0.500  0.260
Se  0.500  0.500  0.740

- excess energy over the best structure of this formula in the dataset (meV/atom) = 79.8
- space-group type = Pmmm

29.
A crystal of Y2TlCo relaxed with PBEsol, computed with SCAN.

Cell: 3.383 3.383 7.686 Å, 90.00 90.00 90.00°
Sites, in units of the cell vectors:
Y  0.000  0.000  0.208
Y  0.000  0.000  0.792
Tl  0.500  0.500  0.500
Co  0.500  0.500  0.000

- E_form (eV per atom) = -0.42
- space-group type = P4/mmm

| no. | calculated total energy (eV per atom) |
| --- | --- |
| 1 | -22.405 |
| 2 | -29.598 |
| 3 | -23.109 |
| 4 | -21.475 |
| 5 | -46.758 |
| 6 | -25.101 |
| 7 | -35.100 |
| 8 | -34.557 |
| 9 | -20.495 |
| 10 | -24.281 |
| 11 | -37.517 |
| 12 | -37.632 |
| 13 | -18.210 |
| 14 | -39.281 |
| 15 | -21.598 |
| 16 | -18.963 |
| 17 | -56.258 |
| 18 | -35.239 |
| 19 | -27.616 |
| 20 | -53.369 |
| 21 | -16.895 |
| 22 | -17.438 |
| 23 | -8.876 |
| 24 | -26.747 |
| 25 | -30.591 |
| 26 | -57.589 |
| 27 | -19.653 |
| 28 | -37.336 |
| 29 | -36.753 |